Material: Ca2MgVO5
Method: DFT, PBE+U
State: relaxed

Results
- E_tot (eV per atom) = -6.7666

Cell: 3.280 12.923 10.432 Å, 90.00 90.00 90.00°
Space group Cmc2_1 (No. 36)
Symmetry-distinct sites (fractional):
1 Ca 0.000 0.104 0.000
2 Ca 0.000 0.162 0.639
3 Mg 0.000 0.215 0.362
4 V 0.000 0.469 0.777
5 O 0.000 0.049 0.368
6 O 0.000 0.277 0.000
7 O 0.000 0.322 0.737
8 O 0.000 0.377 0.332
9 O 0.000 0.494 0.114